Entry 1:
In2GaHg: optimized geometry, PBE.

abc: 3.645 3.645 7.456
angles: 90.00 90.00 90.00
Space group P4/mmm (No. 123)
One atom of each set of equivalent atoms:
In: 0.000 0.000 0.243 x2
Ga: 0.500 0.500 0.000 x1
Hg: 0.500 0.500 0.500 x1

Calculated values
DOS(E_F)   0.461 states/eV/atom
Calculated formation energy   0.0352 eV/atom



Entry 2:
In3Ga4Hg2: optimized geometry, PBE.

abc: 5.238 5.372 8.695
angles: 103.18 97.03 113.98
Space group P-1 (No. 2)
One atom of each set of equivalent atoms:
In: 0.000 0.000 0.000 x1
In: 0.213 0.723 0.280 x2
Ga: 0.373 0.670 0.955 x2
Ga: 0.452 0.592 0.645 x2
Hg: 0.112 0.899 0.642 x2

Calculated values
Polymorph energy (0 for the lowest one)   0.00 kJ per mole of atoms
DOS(E_F)   0.295 states/eV/atom
Calculated formation energy   0.0487 eV/atom



Entry 3:
In4Ga2Hg: optimized geometry, PBE.

abc: 5.149 9.392 14.633
angles: 90.00 90.00 90.00
Space group Cmcm (No. 63)
One atom of each set of equivalent atoms:
In: 0.000 0.000 0.000 x4
In: 0.000 0.278 0.250 x4
In: 0.000 0.389 0.640 x8
Ga: 0.000 0.309 0.051 x8
Hg: 0.000 0.049 0.750 x4

Calculated values
DOS(E_F)   0.337 states/eV/atom
Calculated formation energy   0.0453 eV/atom